# 1
Entry from Alexandria: Hg5Cl after structural relaxation (GGA-PBE).

The structure belongs to space group Cmmm (No. 65); the cell edges are 6.041, 13.580 and 4.117 Å and the angles 90.00°, 90.00° and 90.00°. Symmetry generates all atoms from Hg at (0.000, 0.000, 0.000), Hg at (0.000, 0.164, 0.500), Hg at (0.000, 0.333, 0.000) and Cl at (0.000, 0.500, 0.500).

Its uncorrected formation energy is -0.74 eV per formula unit. The energy above the most stable polymorph in this dataset is 0.17 eV per formula unit. For the spin magnetization, the calculation gives 0.00 Bohr magnetons per cell.

# 2
Entry from Alexandria: Hg3Cl after structural relaxation (GGA-PBE).

The structure belongs to space group Pm-3m (No. 221); the cell edges are 4.716, 4.716 and 4.716 Å and the angles 90.00°, 90.00° and 90.00°. Symmetry generates all atoms from Hg at (0.000, 0.000, 0.500) and Cl at (0.500, 0.500, 0.500).

Its uncorrected formation energy is -0.22 eV per formula unit. The energy above the most stable polymorph in this dataset is 0.64 eV per formula unit. For the spin magnetization, the calculation gives 0.00 Bohr magnetons per cell.

# 3
Entry from Alexandria: HgCl after structural relaxation (GGA-PBE).

The structure belongs to space group Immm (No. 71); the cell edges are 4.949, 5.201 and 5.276 Å and the angles 90.00°, 90.00° and 90.00°. Symmetry generates all atoms from Hg at (0.000, 0.000, 0.000) and Cl at (0.000, 0.500, 0.000).

Its uncorrected formation energy is -0.62 eV per formula unit. The energy above the most stable polymorph in this dataset is 0.47 eV per formula unit. For the spin magnetization, the calculation gives 0.00 Bohr magnetons per cell.

# 4
Entry from Alexandria: HgCl3 after structural relaxation (GGA-PBE).

The structure belongs to space group Pnma (No. 62); the cell edges are 5.373, 11.685 and 7.200 Å and the angles 90.00°, 90.00° and 90.00°. Symmetry generates all atoms from Hg at (0.070, 0.250, 0.024), Cl at (0.071, 0.250, 0.379) and Cl at (0.073, 0.089, 0.772).

Its uncorrected formation energy is -1.07 eV per formula unit. For the spin magnetization, the calculation gives 0.00 Bohr magnetons per cell.

# 5
Entry from Alexandria: Hg3Cl5 after structural relaxation (GGA-PBE).

The structure belongs to space group Cmmm (No. 65); the cell edges are 8.452, 12.536 and 3.864 Å and the angles 90.00°, 90.00° and 90.00°. Symmetry generates all atoms from Hg at (0.000, 0.000, 0.000), Hg at (0.000, 0.330, 0.500), Cl at (0.000, 0.500, 0.000), Cl at (0.197, 0.000, 0.500) and Cl at (0.250, 0.250, 0.000).

Its uncorrected formation energy is -2.51 eV per formula unit. The energy above the most stable polymorph in this dataset is 2.13 eV per formula unit. For the spin magnetization, the calculation gives 0.00 Bohr magnetons per cell.

# 6
Entry from Alexandria: HgCl after structural relaxation (GGA-PBE).

The structure belongs to space group P6_3/mmc (No. 194); the cell edges are 6.1207, 6.1207 and 5.1961 Å and the angles 90.00°, 90.00° and 120.00°. Symmetry generates all atoms from Hg at (0.3333, 0.6667, 0.2500) and Cl at (0.3333, 0.6667, 0.7500).

Its uncorrected formation energy is -0.60 eV per formula unit. The energy above the most stable polymorph in this dataset is 0.48 eV per formula unit. For the spin magnetization, the calculation gives 0.00 Bohr magnetons per cell.

# 7
Entry from Alexandria: HgCl2 after structural relaxation (GGA-PBE).

The structure belongs to space group P6_3/mmc (No. 194); the cell edges are 7.3999, 7.3999 and 9.4874 Å and the angles 90.00°, 90.00° and 120.00°. Symmetry generates all atoms from Hg at (0.3333, 0.6667, 0.0881), Cl at (0.0000, 0.0000, 0.0000) and Cl at (0.1659, 0.3319, 0.2500).

Its uncorrected formation energy is 0.24 eV per formula unit. For the spin magnetization, the calculation gives 0.12 Bohr magnetons per cell.

# 8
Entry from Alexandria: HgCl2 after structural relaxation (GGA-PBE).

The structure belongs to space group P-62m (No. 189); the cell edges are 7.1767, 7.1767 and 5.6143 Å and the angles 90.00°, 90.00° and 120.00°. Symmetry generates all atoms from Hg at (0.0000, 0.0000, 0.0000), Hg at (0.3333, 0.6667, 0.5000), Cl at (0.0000, 0.3061, 0.5000) and Cl at (0.0000, 0.6542, 0.0000).

Its uncorrected formation energy is -1.39 eV per formula unit. For the spin magnetization, the calculation gives 0.00 Bohr magnetons per cell.

# 9
Entry from Alexandria: HgCl2 after structural relaxation (GGA-PBE).

The structure belongs to space group I4/mmm (No. 139); the cell edges are 3.424, 3.424 and 13.188 Å and the angles 90.00°, 90.00° and 90.00°. Symmetry generates all atoms from Hg at (0.000, 0.000, 0.000) and Cl at (0.000, 0.000, 0.377).

Its uncorrected formation energy is -0.67 eV per formula unit. For the spin magnetization, the calculation gives 0.00 Bohr magnetons per cell.

# 10
Entry from Alexandria: HgCl after structural relaxation (GGA-PBE).

The structure belongs to space group P4/m (No. 83); the cell edges are 12.581, 12.581 and 4.099 Å and the angles 90.00°, 90.00° and 90.00°. Symmetry generates all atoms from Hg at (0.066, 0.261, 0.000), Hg at (0.331, 0.582, 0.500), Cl at (0.101, 0.379, 0.500) and Cl at (0.131, 0.778, 0.000).

Its uncorrected formation energy is -0.72 eV per formula unit. The energy above the most stable polymorph in this dataset is 0.36 eV per formula unit. For the spin magnetization, the calculation gives 0.00 Bohr magnetons per cell.

# 11
Entry from Alexandria: Hg5Cl after structural relaxation (GGA-PBE).

The structure belongs to space group Amm2 (No. 38); the cell edges are 6.246, 4.332 and 13.275 Å and the angles 90.00°, 90.00° and 90.00°. Symmetry generates all atoms from Hg at (0.000, 0.000, 0.000), Hg at (0.000, 0.000, 0.326), Hg at (0.000, 0.000, 0.663), Hg at (0.500, 0.000, 0.000), Hg at (0.500, 0.000, 0.334) and Cl at (0.500, 0.000, 0.667).

Its uncorrected formation energy is -0.74 eV per formula unit. The energy above the most stable polymorph in this dataset is 0.17 eV per formula unit. For the spin magnetization, the calculation gives 0.00 Bohr magnetons per cell.

# 12
Entry from Alexandria: Hg5Cl after structural relaxation (GGA-PBE).

The structure belongs to space group C2/m (No. 12); the cell edges are 7.424, 13.033 and 4.340 Å and the angles 90.00°, 122.66° and 90.00°. Symmetry generates all atoms from Hg at (0.000, 0.000, 0.000), Hg at (0.000, 0.161, 0.500), Hg at (0.000, 0.331, 0.000) and Cl at (0.000, 0.500, 0.500).

Its uncorrected formation energy is -0.92 eV per formula unit. The energy above the most stable polymorph in this dataset is 0.00 eV per formula unit. For the spin magnetization, the calculation gives 0.00 Bohr magnetons per cell.

- Which value of spin magnetization does entry 2 give?
  0.00 Bohr magnetons per cell